[1]
The following is a DFT calculation (PBE-GGA) of a relaxed structure of KZrC2O6.

Its total magnetic moment is 0.93 μB per formula unit.

The structure belongs to space group C2/c (No. 15); the cell edges are 8.168, 9.295 and 6.668 Å and the angles 90.00°, 108.93° and 90.00°. The distinct sites, in fractional coordinates, are K at (0.000, 0.119, 0.250), Zr at (0.000, 0.411, 0.750), C at (0.234, 0.373, 0.251), O at (0.081, 0.381, 0.100), O at (0.166, 0.233, 0.732) and O at (0.235, 0.021, 0.614).



[2]
The following is a DFT calculation (PBE-GGA) of a relaxed structure of Li2Dy2Ni15.

Its total magnetic moment is 4.79 μB per formula unit.

The structure belongs to space group R-3m (No. 166, hexagonal axes); the cell edges are 8.2899, 8.2899 and 12.0347 Å and the angles 90.00°, 90.00° and 120.00°. The distinct sites, in fractional coordinates, are Li at (0.0000, 0.0000, 0.0935), Dy at (0.0000, 0.0000, 0.3433), Ni at (0.0000, 0.3048, 0.0000), Ni at (0.0000, 0.5000, 0.5000) and Ni at (0.0013, 0.5006, 0.1573).



[3]
The following is a DFT calculation (PBE-GGA) of a relaxed structure of Cd2TeO.

The structure belongs to space group Pnma (No. 62); the cell edges are 6.363, 4.009 and 14.235 Å and the angles 90.00°, 90.00° and 90.00°. The distinct sites, in fractional coordinates, are Cd at (0.106, 0.250, 0.208), Cd at (0.238, 0.750, 0.419), Te at (0.229, 0.250, 0.583) and O at (0.222, 0.750, 0.839).



Calculated total energy (eV per atom)
-7.65, -5.32, -3.08